1.
The following is a PBE calculation of an optimized crystal structure of HoMgCd2Au4, from Alexandria.

Properties
calculated formation energy: -527 meV per atom

abc: 8.4142 8.4142 8.4142
angles: 33.33 33.33 33.33
Fractional coordinates of all 8 atoms:
Ho: 0.0000 0.0000 0.0000
Mg: 0.5000 0.5000 0.5000
Cd: 0.2501 0.2501 0.2501
Cd: 0.7499 0.7499 0.7499
Au: 0.1275 0.1275 0.1275
Au: 0.3817 0.3817 0.3817
Au: 0.6183 0.6183 0.6183
Au: 0.8725 0.8725 0.8725

2.
The following is a PBE calculation of an optimized crystal structure of HoMg2CdAu4, from Alexandria.

Properties
calculated formation energy: -574 meV per atom

abc: 8.6065 8.6065 8.6065
angles: 32.11 32.11 32.11
Fractional coordinates of all 8 atoms:
Ho: 0.0000 0.0000 0.0000
Mg: 0.2449 0.2449 0.2449
Mg: 0.7551 0.7551 0.7551
Cd: 0.5000 0.5000 0.5000
Au: 0.1216 0.1216 0.1216
Au: 0.3815 0.3815 0.3815
Au: 0.6185 0.6185 0.6185
Au: 0.8784 0.8784 0.8784

3.
The following is a PBE calculation of an optimized crystal structure of Ho2MgCdAu4, from Alexandria.

Properties
calculated formation energy: -735 meV per atom

abc: 8.4489 8.4489 8.4489
angles: 33.86 33.86 33.86
Fractional coordinates of all 8 atoms:
Ho: 0.2471 0.2471 0.2471
Ho: 0.7529 0.7529 0.7529
Mg: 0.0000 0.0000 0.0000
Cd: 0.5000 0.5000 0.5000
Au: 0.1198 0.1198 0.1198
Au: 0.3715 0.3715 0.3715
Au: 0.6285 0.6285 0.6285
Au: 0.8802 0.8802 0.8802

4.
The following is a PBE calculation of an optimized crystal structure of HoMgCdAu, from Alexandria.

Properties
calculated formation energy: -540 meV per atom

abc: 4.9668 4.9668 4.9668
angles: 60.00 60.00 60.00
Fractional coordinates of all 4 atoms:
Ho: 0.0000 0.0000 0.0000
Mg: 0.5000 0.5000 0.5000
Cd: 0.7500 0.7500 0.7500
Au: 0.2500 0.2500 0.2500

5.
The following is a PBE calculation of an optimized crystal structure of NaHoCdAu, from Alexandria.

Properties
calculated formation energy: -333 meV per atom

abc: 5.0746 5.0746 5.0746
angles: 60.00 60.00 60.00
Fractional coordinates of all 4 atoms:
Na: 0.0000 0.0000 0.0000
Ho: 0.5000 0.5000 0.5000
Cd: 0.2500 0.2500 0.2500
Au: 0.7500 0.7500 0.7500

6.
The following is a PBE calculation of an optimized crystal structure of HoCdNiAu, from Alexandria.

Properties
calculated formation energy: -410 meV per atom

abc: 4.7773 4.7773 4.7773
angles: 60.00 60.00 60.00
Fractional coordinates of all 4 atoms:
Ho: 0.0000 0.0000 0.0000
Cd: 0.5000 0.5000 0.5000
Ni: 0.7500 0.7500 0.7500
Au: 0.2500 0.2500 0.2500

7.
The following is a PBE calculation of an optimized crystal structure of Ho2CdPd5Au, from Alexandria.

Properties
calculated formation energy: -300 meV per atom

abc: 8.0051 8.0051 8.0051
angles: 117.77 117.77 93.90
Fractional coordinates of all 18 atoms:
Ho: 0.1275 0.6275 0.7550
Ho: 0.3725 0.1275 0.5000
Ho: 0.6275 0.8725 0.5000
Ho: 0.8725 0.3725 0.2450
Cd: 0.2500 0.2500 0.0000
Cd: 0.7500 0.7500 0.0000
Pd: 0.0000 0.0000 0.0000
Pd: 0.0617 0.1721 0.5000
Pd: 0.1721 0.6721 0.1104
Pd: 0.3279 0.4383 0.5000
Pd: 0.4383 0.9383 0.1104
Pd: 0.5000 0.5000 0.0000
Pd: 0.5617 0.0617 0.8896
Pd: 0.6721 0.5617 0.5000
Pd: 0.8279 0.3279 0.8896
Pd: 0.9383 0.8279 0.5000
Au: 0.2500 0.7500 0.5000
Au: 0.7500 0.2500 0.5000

8.
The following is a PBE calculation of an optimized crystal structure of PmHoCdAu, from Alexandria.

Properties
calculated formation energy: -572 meV per atom
distance to the lowest polymorph of the same formula: 0.0 meV/atom

abc: 3.6971 3.6971 7.4480
angles: 90.00 90.00 90.00
Fractional coordinates of all 4 atoms:
Pm: 0.0000 0.0000 0.0000
Ho: 0.0000 0.0000 0.4732
Cd: 0.5000 0.5000 0.7263
Au: 0.5000 0.5000 0.2605